A plane-wave DFT calculation with PBE was carried out for a relaxed Li8CuAg6 crystal.

The structure in extended XYZ format:
```
15
Lattice="3.613 2.086 5.555 -3.613 2.086 5.555 0.000 -4.172 5.555" Properties=species:S:1:pos:R:3 pbc="T T T"
Li 0.000 0.000 1.456
Li -1.672 0.336 6.210
Li 0.545 -1.616 6.210
Li -1.127 -1.281 10.455
Li 1.127 1.281 6.210
Li -0.545 1.616 10.455
Li 1.672 -0.336 10.455
Li 0.000 0.000 15.209
Cu 0.000 0.000 8.333
Ag -1.864 -1.915 7.603
Ag -2.590 0.657 9.062
Ag 0.727 -2.572 9.062
Ag -0.727 2.572 7.603
Ag 2.590 -0.657 7.603
Ag 1.864 1.915 9.062
```

=====

A plane-wave DFT calculation with PBE was carried out for a relaxed Li7Cu3Ag crystal.

The structure in extended XYZ format:
```
22
Lattice="1.357 -10.513 0.000 1.357 10.513 0.000 0.000 0.000 12.198" Properties=species:S:1:pos:R:3 pbc="T T T"
Li 1.357 9.259 7.698
Li 1.357 9.259 10.600
Li 1.357 8.585 1.087
Li 1.357 8.585 5.012
Li 1.357 6.663 9.149
Li 1.357 5.856 1.221
Li 1.357 5.856 4.878
Li 1.357 -5.856 7.320
Li 1.357 -5.856 10.978
Li 1.357 -6.663 3.050
Li 1.357 -8.585 7.186
Li 1.357 -8.585 11.111
Li 1.357 -9.259 1.598
Li 1.357 -9.259 4.501
Cu 1.357 3.340 0.721
Cu 1.357 3.340 5.378
Cu 1.357 3.311 9.149
Cu 1.357 -3.311 3.050
Cu 1.357 -3.340 6.820
Cu 1.357 -3.340 11.477
Ag 1.357 0.630 9.149
Ag 1.357 -0.630 3.050
```

=====

A plane-wave DFT calculation with PBE was carried out for a relaxed LiCu2Ag crystal.

The structure in extended XYZ format:
```
4
Lattice="0.000 3.043 3.043 3.043 0.000 3.043 3.043 3.043 0.000" Properties=species:S:1:pos:R:3 pbc="T T T"
Li 0.000 0.000 0.000
Cu 1.522 1.522 1.522
Cu 4.565 4.565 4.565
Ag 3.043 3.043 3.043
```

Offset from the most stable computed form (kJ/mol of atoms): 5.4

=====

A plane-wave DFT calculation with PBE was carried out for a relaxed Li2Cu2Ag crystal.

The structure in extended XYZ format:
```
10
Lattice="-1.372 2.098 12.512 1.372 -2.098 12.512 1.372 2.098 -12.512" Properties=species:S:1:pos:R:3 pbc="T T T"
Li 0.000 1.049 0.624
Li 0.000 1.049 3.206
Li 1.372 1.049 9.306
Li 1.372 1.049 11.887
Cu 1.372 -1.049 7.430
Cu 1.372 1.049 5.257
Cu 0.000 1.049 7.255
Cu 0.000 3.147 5.081
Ag 1.372 1.049 -2.010
Ag 0.000 1.049 14.522
```

Offset from the most stable computed form (kJ/mol of atoms): 0.0

=====

A plane-wave DFT calculation with PBE was carried out for a relaxed Li2CuAg2 crystal.

The structure in extended XYZ format:
```
10
Lattice="4.664 -2.461 0.000 4.664 2.461 0.000 -3.111 0.000 6.757" Properties=species:S:1:pos:R:3 pbc="T T T"
Li 2.046 1.664 3.695
Li 2.616 1.664 6.440
Li 3.601 -1.664 0.317
Li 4.172 -1.664 3.062
Cu 3.886 0.763 1.689
Cu 2.331 -0.763 5.067
Ag 0.156 0.746 5.771
Ag 1.711 -0.746 2.393
Ag 4.506 0.746 4.364
Ag 6.062 -0.746 0.986
```

Offset from the most stable computed form (kJ/mol of atoms): 0.0

=====

A plane-wave DFT calculation with PBE was carried out for a relaxed Li7CuAg2 crystal.

The structure in extended XYZ format:
```
10
Lattice="4.456 0.000 0.000 -2.228 3.859 0.000 0.000 0.000 9.944" Properties=species:S:1:pos:R:3 pbc="T T T"
Li 0.000 0.000 0.000
Li 0.000 0.000 2.414
Li 0.000 0.000 7.449
Li 0.000 2.573 3.898
Li 0.000 2.573 8.109
Li 2.228 1.286 1.819
Li 2.228 1.286 5.906
Cu 0.000 2.573 0.861
Ag 0.000 0.000 4.925
Ag 2.228 1.286 9.054
```

=====

| no. | DFT formation energy (eV per formula unit) | total magnetization (μB per atom) | N(E_F) (states/eV/f.u.) |
| --- | --- | --- | --- |
| 1 | -1.5 | 0.000 | 4.63 |
| 2 | -0.2 | 0.000 | 2.88 |
| 3 | 0.1 | 0.000 | 1.13 |
| 4 | -0.1 | 0.000 | 1.38 |
| 5 | -0.5 | 0.000 | 1.53 |
| 6 | -0.3 | 0.000 | 4.45 |